# 1
DFT (PBE) results for crystalline GaTc2Se at its relaxed geometry.

abc: 7.2036 7.2036 5.7474
angles: 51.19 51.19 90.00
Fractional coordinates of all 8 atoms:
Ga (0.5000, 0.5000, 0.0000)
Ga (0.2500, 0.7500, 0.5000)
Tc (0.6857, 0.1250, 0.2500)
Tc (0.0643, 0.6250, 0.2500)
Tc (0.3750, 0.3143, 0.7500)
Tc (0.8750, 0.9357, 0.7500)
Se (0.0000, 0.0000, 0.0000)
Se (0.7500, 0.2500, 0.5000)

Values from the calculation:
The space group is No. 122. The value obtained for the energy above the lowest structure with this stoichiometry is 458 meV/atom. The value obtained for the density of states at the Fermi level is 0.6480 states/eV per atom.

---

# 2
DFT (PBE) results for crystalline GaTcSe at its relaxed geometry.

abc: 5.4893 3.1347 13.0238
angles: 90.00 92.90 90.00
Fractional coordinates of all 12 atoms:
Ga (0.9363, 0.0000, 0.9038)
Ga (0.0637, 0.0000, 0.0962)
Ga (0.9363, 0.5000, 0.4038)
Ga (0.0637, 0.5000, 0.5962)
Tc (0.7278, 0.0000, 0.2607)
Tc (0.2722, 0.0000, 0.7393)
Tc (0.7278, 0.5000, 0.7607)
Tc (0.2722, 0.5000, 0.2393)
Se (0.3940, 0.0000, 0.3775)
Se (0.6060, 0.0000, 0.6225)
Se (0.3940, 0.5000, 0.8775)
Se (0.6060, 0.5000, 0.1225)

Values from the calculation:
The space group is No. 12. The value obtained for the energy above the lowest structure with this stoichiometry is 33 meV/atom. The value obtained for the density of states at the Fermi level is 0.4451 states/eV per atom.

---

# 3
DFT (PBE) results for crystalline TlGaTc2Se at its relaxed geometry.

abc: 4.6514 5.0837 4.6514
angles: 90.00 90.00 90.00
Fractional coordinates of all 5 atoms:
Tl (0.5000, 0.5000, 0.5000)
Ga (0.0000, 0.5000, 0.0000)
Tc (0.0000, 0.0000, 0.5000)
Tc (0.5000, 0.0000, 0.0000)
Se (0.0000, 0.0000, 0.0000)

Values from the calculation:
The space group is No. 123. The value obtained for the density of states at the Fermi level is 0.9205 states/eV per atom. The electronic total energy is -24.7 eV per cell.

---

# 4
DFT (PBE) results for crystalline GaTcWSe2 at its relaxed geometry.

abc: 4.8134 4.7149 4.8134
angles: 90.00 90.00 90.00
Fractional coordinates of all 5 atoms:
Ga (0.0000, 0.0000, 0.0000)
Se (0.0000, 0.0000, 0.5000)
Se (0.5000, 0.0000, 0.0000)
Tc (0.0000, 0.5000, 0.0000)
W (0.5000, 0.5000, 0.5000)

Values from the calculation:
The space group is No. 123. The value obtained for the density of states at the Fermi level is 0.5752 states/eV per atom. The electronic total energy is -25.1 eV per cell.

---

# 5
DFT (PBE) results for crystalline Ga2TeSe5 at its relaxed geometry.

abc: 5.6704 9.0625 11.4115
angles: 90.00 90.00 108.23
Fractional coordinates of all 16 atoms:
Ga (0.8072, 0.6145, 0.4536)
Ga (0.8072, 0.6145, 0.0464)
Ga (0.1928, 0.3855, 0.5464)
Ga (0.1928, 0.3855, 0.9536)
Te (0.8108, 0.6215, 0.7500)
Te (0.1892, 0.3785, 0.2500)
Se (0.9184, 0.8368, 0.9175)
Se (0.9184, 0.8368, 0.5825)
Se (0.3117, 0.6234, 0.4327)
Se (0.3117, 0.6234, 0.0673)
Se (0.7505, 0.5010, 0.2500)
Se (0.2495, 0.4990, 0.7500)
Se (0.6883, 0.3766, 0.5673)
Se (0.6883, 0.3766, 0.9327)
Se (0.0816, 0.1632, 0.0825)
Se (0.0816, 0.1632, 0.4175)

Values from the calculation:
The space group is No. 63. The electronic total energy is -56.3 eV per cell.

---

# 6
DFT (PBE) results for crystalline Ga2TeSe2 at its relaxed geometry.

abc: 4.9607 4.9607 5.7980
angles: 64.67 64.67 90.00
Fractional coordinates of all 5 atoms:
Te (0.0000, 0.0000, 0.0000)
Ga (0.3614, 0.3614, 0.2773)
Ga (0.6386, 0.6386, 0.7227)
Se (0.7500, 0.2500, 0.5000)
Se (0.2500, 0.7500, 0.5000)

Values from the calculation:
The space group is No. 139. The value obtained for the density of states at the Fermi level is 0.7367 states/eV per atom. The electronic total energy is -16.3 eV per cell.